First-principles (PBE) data for crystalline UCuSbO6 at its relaxed geometry, as listed in Alexandria.

abc: 5.4712 5.4712 9.1921
angles: 90.00 90.00 120.00
Last column: nearest neighbours and their distance in Å.
Fractional positions:
1 U 0.6667 0.3333 0.2500  6 O 2.13
2 U 0.3333 0.6667 0.7500  6 O 2.13
3 Cu 0.0000 0.0000 0.0000  6 O 2.27
4 Cu 0.0000 0.0000 0.5000  6 O 2.27
5 Sb 0.3333 0.6667 0.2500  6 O 2.03
6 Sb 0.6667 0.3333 0.7500  6 O 2.03
7 O 0.6433 0.6570 0.1323  1 Sb 2.03, 1 U 2.13, 1 Cu 2.27
8 O 0.0137 0.3567 0.1323  1 Sb 2.03, 1 U 2.13, 1 Cu 2.27
9 O 0.3567 0.0137 0.6323  1 Sb 2.03, 1 U 2.13, 1 Cu 2.27
10 O 0.9863 0.6433 0.8677  1 Sb 2.03, 1 U 2.13, 1 Cu 2.27
11 O 0.3430 0.3567 0.3677  1 Sb 2.03, 1 U 2.13, 1 Cu 2.27
12 O 0.0137 0.6570 0.3677  1 Sb 2.03, 1 U 2.13, 1 Cu 2.27
13 O 0.6570 0.0137 0.8677  1 Sb 2.03, 1 U 2.13, 1 Cu 2.27
14 O 0.6433 0.9863 0.3677  1 Sb 2.03, 1 U 2.13, 1 Cu 2.27
15 O 0.9863 0.3430 0.6323  1 Sb 2.03, 1 U 2.13, 1 Cu 2.27
16 O 0.3430 0.9863 0.1323  1 Sb 2.03, 1 U 2.13, 1 Cu 2.27
17 O 0.6570 0.6433 0.6323  1 Sb 2.03, 1 U 2.13, 1 Cu 2.27
18 O 0.3567 0.3430 0.8677  1 Sb 2.03, 1 U 2.13, 1 Cu 2.27

Properties
The value obtained for the total DFT energy (no corrections) is -7.236 eV/atom. Its density of states at the Fermi level is 8.73 states/eV per cell. Its symmetry is P-31c (163). Its calculated volume is 238.29 Å³/cell.